K3In2Ag5, relaxed, DFT PBE; DFT total energy = -2.286 eV/atom; D(E_F) = 7.7 states/eV per cell
1.0
4.271 -12.683 0.000
4.271 12.683 0.000
-2.929 0.000 5.038
K In Ag
6 4 10
direct
0.018 0.982 0.750
0.092 0.516 0.800
0.484 0.908 0.700
0.516 0.092 0.300
0.908 0.484 0.200
0.982 0.018 0.250
0.207 0.438 0.266
0.438 0.207 0.766
0.562 0.793 0.234
0.793 0.562 0.734
0.118 0.882 0.250
0.146 0.854 0.750
0.250 0.417 0.766
0.417 0.250 0.266
0.485 0.515 0.250
0.515 0.485 0.750
0.583 0.750 0.734
0.750 0.583 0.234
0.854 0.146 0.250
0.882 0.118 0.750

K3ZrTa, relaxed, DFT PBE; DFT total energy = -2.105 eV/atom; D(E_F) = 18.2 states/eV per cell
1.0
6.086 0.000 0.000
0.000 6.086 0.000
0.000 0.000 6.086
K Zr Ta
3 1 1
direct
0.000 0.000 0.500
0.000 0.500 0.000
0.500 0.000 0.000
0.000 0.000 0.000
0.500 0.500 0.500

NdZr2Pd9, relaxed, DFT PBE; DFT total energy = -6.527 eV/atom; D(E_F) = 0.9 states/eV per cell
1.0
4.088 0.000 0.000
0.000 4.088 0.000
0.000 0.000 12.274
Nd Zr Pd
1 2 9
direct
0.000 0.000 0.000
0.000 0.000 0.335
0.000 0.000 0.665
0.000 0.500 0.178
0.000 0.500 0.500
0.000 0.500 0.822
0.500 0.000 0.178
0.500 0.000 0.500
0.500 0.000 0.822
0.500 0.500 0.000
0.500 0.500 0.339
0.500 0.500 0.661